# 1
# RbNaNF2 (PBE-GGA, optimized geometry)
# * density: 1.85 g/cm3
# * energy relative to the elements, uncorrected: -493 meV per atom
# * electronic total energy: -16.82 eV/f.u.
# * N(E_F): 2.1 states/eV per cell
# * distance to the lowest polymorph of the same formula: 0.447 eV/atom
# * crystal system: tetragonal
data_RbNaNF2
_chemical_formula_sum 'Rb1 Na1 N1 F2'
_cell_length_a 5.235
_cell_length_b 5.235
_cell_length_c 5.258
_cell_angle_alpha 90.00
_cell_angle_beta 90.00
_cell_angle_gamma 90.00
_symmetry_space_group_name_H-M 'P 4/m m m'
_symmetry_Int_Tables_number 123
_symmetry_space_group_name_Hall '-P 4 2'
loop_
_atom_site_label
_atom_site_type_symbol
_atom_site_fract_x
_atom_site_fract_y
_atom_site_fract_z
_atom_site_occupancy
Rb1 Rb 0.000 0.000 0.000 1
Na1 Na 0.500 0.500 0.500 1
N1 N 0.000 0.000 0.500 1
F1 F 0.000 0.500 0.000 1



# 2
# BaTaTl2 (PBE-GGA, optimized geometry)
# * density: 9.71 g/cm3
# * electronic total energy: -16.31 eV/f.u.
# * N(E_F): 3.8 states/eV per cell
# * crystal system: orthorhombic
data_BaTaTl2
_chemical_formula_sum 'Ba1 Ta1 Tl2'
_cell_length_a 3.490
_cell_length_b 4.337
_cell_length_c 8.214
_cell_angle_alpha 90.00
_cell_angle_beta 90.00
_cell_angle_gamma 90.00
_symmetry_space_group_name_H-M 'P m m 2'
_symmetry_Int_Tables_number 25
loop_
_symmetry_equiv_pos_as_xyz
'x,y,z'
'-x,-y,z'
'-x,y,z'
'x,-y,z'
loop_
_atom_site_label
_atom_site_type_symbol
_atom_site_fract_x
_atom_site_fract_y
_atom_site_fract_z
_atom_site_occupancy
Ba1 Ba 0.000 0.000 0.000 1
Ta1 Ta 0.500 0.500 0.320 1
Tl1 Tl 0.000 0.000 0.422 1
Tl2 Tl 0.500 0.500 0.677 1



# 3
# Tb2Sn3Rh4 (PBE-GGA, optimized geometry)
# * density: 10.06 g/cm3
# * electronic total energy: -57.44 eV/f.u.
# * N(E_F): 23.0 states/eV per cell
# * crystal system: orthorhombic
data_Tb2Sn3Rh4
_chemical_formula_sum 'Tb8 Sn12 Rh16'
_cell_length_a 6.008
_cell_length_b 16.243
_cell_length_c 7.344
_cell_angle_alpha 90.00
_cell_angle_beta 90.00
_cell_angle_gamma 90.00
_symmetry_space_group_name_H-M 'C m c e'
_symmetry_Int_Tables_number 64
_symmetry_space_group_name_Hall '-C 2ac 2'
loop_
_atom_site_label
_atom_site_type_symbol
_atom_site_fract_x
_atom_site_fract_y
_atom_site_fract_z
_atom_site_occupancy
Tb1 Tb 0.000 0.103 0.081 1
Sn1 Sn 0.000 0.000 0.500 1
Sn2 Sn 0.250 0.235 0.750 1
Rh1 Rh 0.000 0.170 0.474 1
Rh2 Rh 0.250 0.070 0.750 1



# 4
# Cs4Ag3PbF12 (PBE-GGA, optimized geometry)
# * density: 5.41 g/cm3
# * energy relative to the elements, uncorrected: -2043 meV per atom
# * electronic total energy: -78.99 eV/f.u.
# * N(E_F): 12.4 states/eV per cell
# * crystal system: cubic
data_Cs4Ag3PbF12
_chemical_formula_sum 'Cs8 Ag6 Pb2 F24'
_cell_length_a 9.256
_cell_length_b 9.256
_cell_length_c 9.256
_cell_angle_alpha 90.00
_cell_angle_beta 90.00
_cell_angle_gamma 90.00
_symmetry_space_group_name_H-M 'I m -3 m'
_symmetry_Int_Tables_number 229
_symmetry_space_group_name_Hall '-I 4 2 3'
loop_
_atom_site_label
_atom_site_type_symbol
_atom_site_fract_x
_atom_site_fract_y
_atom_site_fract_z
_atom_site_occupancy
Cs1 Cs 0.250 0.250 0.250 1
Ag1 Ag 0.000 0.000 0.500 1
Pb1 Pb 0.000 0.000 0.000 1
F1 F 0.000 0.000 0.232 1
F2 F 0.000 0.250 0.500 1



# 5
# Cs2CeI4F2 (PBE-GGA, optimized geometry)
# * density: 4.13 g/cm3
# * energy relative to the elements, uncorrected: -2048 meV per atom
# * electronic total energy: -36.01 eV/f.u.
# * crystal system: monoclinic
data_Cs2CeI4F2
_chemical_formula_sum 'Cs4 Ce2 I8 F4'
_cell_length_a 13.372
_cell_length_b 8.891
_cell_length_c 6.671
_cell_angle_alpha 90.00
_cell_angle_beta 105.36
_cell_angle_gamma 90.00
_symmetry_space_group_name_H-M 'C 1 2/m 1'
_symmetry_Int_Tables_number 12
loop_
_symmetry_equiv_pos_as_xyz
'x,y,z'
'-x,-y,-z'
'-x,y,-z'
'x,-y,z'
'x+1/2,y+1/2,z'
'-x+1/2,-y+1/2,-z'
'-x+1/2,y+1/2,-z'
'x+1/2,-y+1/2,z'
loop_
_atom_site_label
_atom_site_type_symbol
_atom_site_fract_x
_atom_site_fract_y
_atom_site_fract_z
_atom_site_occupancy
Cs1 Cs 0.179 0.000 0.343 1
Ce1 Ce 0.000 0.500 0.000 1
I1 I 0.099 0.247 0.802 1
F1 F 0.131 0.500 0.258 1



# 6
# Tc3TeAu (PBE-GGA, optimized geometry)
# * density: 8.05 g/cm3
# * energy relative to the elements, uncorrected: 2033 meV per atom
# * electronic total energy: -27.35 eV/f.u.
# * N(E_F): 8.0 states/eV per cell
# * crystal system: cubic
data_Tc3TeAu
_chemical_formula_sum 'Tc3 Te1 Au1'
_cell_length_a 5.033
_cell_length_b 5.033
_cell_length_c 5.033
_cell_angle_alpha 90.00
_cell_angle_beta 90.00
_cell_angle_gamma 90.00
_symmetry_space_group_name_H-M 'P m -3 m'
_symmetry_Int_Tables_number 221
_symmetry_space_group_name_Hall '-P 4 2 3'
loop_
_atom_site_label
_atom_site_type_symbol
_atom_site_fract_x
_atom_site_fract_y
_atom_site_fract_z
_atom_site_occupancy
Tc1 Tc 0.000 0.000 0.500 1
Te1 Te 0.500 0.500 0.500 1
Au1 Au 0.000 0.000 0.000 1



# 7
# LaY2Al6 (PBE-GGA, optimized geometry)
# * density: 3.64 g/cm3
# * electronic total energy: -42.93 eV/f.u.
# * N(E_F): 9.1 states/eV per cell
# * distance to the lowest polymorph of the same formula: 0.183 eV/atom
# * crystal system: orthorhombic
data_LaY2Al6
_chemical_formula_sum 'La2 Y4 Al12'
_cell_length_a 4.446
_cell_length_b 7.337
_cell_length_c 13.397
_cell_angle_alpha 90.00
_cell_angle_beta 90.00
_cell_angle_gamma 90.00
_symmetry_space_group_name_H-M 'I m m m'
_symmetry_Int_Tables_number 71
_symmetry_space_group_name_Hall '-I 2 2'
loop_
_atom_site_label
_atom_site_type_symbol
_atom_site_fract_x
_atom_site_fract_y
_atom_site_fract_z
_atom_site_occupancy
La1 La 0.000 0.000 0.000 1
Y1 Y 0.000 0.500 0.124 1
Al1 Al 0.000 0.179 0.500 1
Al2 Al 0.000 0.304 0.314 1



# 8
# SiRuPt2 (PBE-GGA, optimized geometry)
# * density: 14.85 g/cm3
# * energy relative to the elements, uncorrected: -295 meV per atom
# * electronic total energy: -27.96 eV/f.u.
# * N(E_F): 12.8 states/eV per cell
# * crystal system: trigonal
data_SiRuPt2
_chemical_formula_sum 'Si3 Ru3 Pt6'
_cell_length_a 2.8191
_cell_length_b 2.8191
_cell_length_c 25.3172
_cell_angle_alpha 90.00
_cell_angle_beta 90.00
_cell_angle_gamma 120.00
_symmetry_space_group_name_H-M 'R 3 m'
_symmetry_Int_Tables_number 160
_symmetry_space_group_name_Hall 'R 3 -2"'
loop_
_atom_site_label
_atom_site_type_symbol
_atom_site_fract_x
_atom_site_fract_y
_atom_site_fract_z
_atom_site_occupancy
Si1 Si 0.0000 0.0000 0.0000 1
Ru1 Ru 0.0000 0.0000 0.7367 1
Pt1 Pt 0.0000 0.0000 0.2578 1
Pt2 Pt 0.0000 0.0000 0.4952 1



# 9
# Pm7CdS5 (PBE-GGA, optimized geometry)
# * density: 6.45 g/cm3
# * energy relative to the elements, uncorrected: -1617 meV per atom
# * electronic total energy: -75.83 eV/f.u.
# * N(E_F): 13.6 states/eV per cell
# * crystal system: triclinic
data_Pm7CdS5
_chemical_formula_sum 'Pm14 Cd2 S10'
_cell_length_a 4.060
_cell_length_b 6.998
_cell_length_c 24.371
_cell_angle_alpha 89.98
_cell_angle_beta 90.00
_cell_angle_gamma 73.20
_symmetry_space_group_name_H-M 'P -1'
_symmetry_Int_Tables_number 2
loop_
_symmetry_equiv_pos_as_xyz
'x,y,z'
'-x,-y,-z'
loop_
_atom_site_label
_atom_site_type_symbol
_atom_site_fract_x
_atom_site_fract_y
_atom_site_fract_z
_atom_site_occupancy
Pm1 Pm 0.022 0.455 0.250 1
Pm2 Pm 0.135 0.230 0.964 1
Pm3 Pm 0.136 0.228 0.536 1
Pm4 Pm 0.324 0.853 0.329 1
Pm5 Pm 0.325 0.851 0.171 1
Pm6 Pm 0.410 0.680 0.894 1
Pm7 Pm 0.411 0.679 0.606 1
Cd1 Cd 0.295 0.909 0.750 1
S1 S 0.043 0.413 0.860 1
S2 S 0.043 0.414 0.640 1
S3 S 0.227 0.046 0.431 1
S4 S 0.227 0.047 0.069 1
S5 S 0.500 0.500 0.000 1
S6 S 0.500 0.500 0.500 1



# 10
# Ba4PmO6 (PBE-GGA, optimized geometry)
# * density: 5.91 g/cm3
# * energy relative to the elements, uncorrected: -2507 meV per atom
# * electronic total energy: -69.77 eV/f.u.
# * N(E_F): 61.3 states/eV per cell
# * crystal system: trigonal
data_Ba4PmO6
_chemical_formula_sum 'Ba24 Pm6 O36'
_cell_length_a 10.7984
_cell_length_b 10.7984
_cell_length_c 13.1993
_cell_angle_alpha 90.00
_cell_angle_beta 90.00
_cell_angle_gamma 120.00
_symmetry_space_group_name_H-M 'R -3 c'
_symmetry_Int_Tables_number 167
_symmetry_space_group_name_Hall '-R 3 2"c'
loop_
_atom_site_label
_atom_site_type_symbol
_atom_site_fract_x
_atom_site_fract_y
_atom_site_fract_z
_atom_site_occupancy
Ba1 Ba 0.0000 0.0000 0.2500 1
Ba2 Ba 0.0000 0.3562 0.2500 1
Pm1 Pm 0.0000 0.0000 0.0000 1
O1 O 0.0253 0.1875 0.3945 1



# 11
# SrTl15Cd4 (PBE-GGA, optimized geometry)
# * density: 10.19 g/cm3
# * electronic total energy: -41.08 eV/f.u.
# * N(E_F): 6.8 states/eV per cell
# * crystal system: tetragonal
data_SrTl15Cd4
_chemical_formula_sum 'Sr1 Tl15 Cd4'
_cell_length_a 4.929
_cell_length_b 4.929
_cell_length_c 24.169
_cell_angle_alpha 90.00
_cell_angle_beta 90.00
_cell_angle_gamma 90.00
_symmetry_space_group_name_H-M 'P 4/m m m'
_symmetry_Int_Tables_number 123
_symmetry_space_group_name_Hall '-P 4 2'
loop_
_atom_site_label
_atom_site_type_symbol
_atom_site_fract_x
_atom_site_fract_y
_atom_site_fract_z
_atom_site_occupancy
Sr1 Sr 0.000 0.000 0.000 1
Tl1 Tl 0.000 0.500 0.106 1
Tl2 Tl 0.000 0.500 0.301 1
Tl3 Tl 0.000 0.500 0.500 1
Tl4 Tl 0.500 0.500 0.000 1
Tl5 Tl 0.500 0.500 0.203 1
Tl6 Tl 0.500 0.500 0.401 1
Cd1 Cd 0.000 0.000 0.199 1
Cd2 Cd 0.000 0.000 0.401 1



# 12
# K4Pm3RuO8 (PBE-GGA, optimized geometry)
# * density: 5.16 g/cm3
# * energy relative to the elements, uncorrected: -2150 meV per atom
# * electronic total energy: -101.98 eV/f.u.
# * N(E_F): 25.9 states/eV per cell
# * crystal system: trigonal
data_K4Pm3RuO8
_chemical_formula_sum 'K12 Pm9 Ru3 O24'
_cell_length_a 6.9809
_cell_length_b 6.9809
_cell_length_c 18.7802
_cell_angle_alpha 90.00
_cell_angle_beta 90.00
_cell_angle_gamma 120.00
_symmetry_space_group_name_H-M 'R -3 m'
_symmetry_Int_Tables_number 166
_symmetry_space_group_name_Hall '-R 3 2"'
loop_
_atom_site_label
_atom_site_type_symbol
_atom_site_fract_x
_atom_site_fract_y
_atom_site_fract_z
_atom_site_occupancy
K1 K 0.0000 0.0000 0.0000 1
K2 K 0.0000 0.5000 0.0000 1
Pm1 Pm 0.0000 0.5000 0.5000 1
Ru1 Ru 0.0000 0.0000 0.5000 1
O1 O 0.0000 0.0000 0.2311 1
O2 O 0.0189 0.5094 0.2296 1



Which of these has the highest electronic total energy? BaTaTl2